The following is a DFT calculation (PBE with a Hubbard U) of a geometry-optimized SrFeGeO4 structure.

Cell: 5.544 5.826 6.593 Å, 90.00 106.07 90.00°
Positions (direct):
Sr 0.237 0.250 0.452
Sr 0.763 0.750 0.548
Fe 0.369 0.250 0.995
Fe 0.631 0.750 0.005
Ge 0.215 0.750 0.173
Ge 0.785 0.250 0.827
O 0.024 0.250 0.065
O 0.114 0.750 0.401
O 0.457 0.529 0.202
O 0.457 0.971 0.202
O 0.543 0.029 0.798
O 0.543 0.471 0.798
O 0.886 0.250 0.599
O 0.976 0.750 0.935

Output
Total magnetization ... 4.009 μB/f.u.
E ... -6.49 eV per atom
Calculated volume ... 102.3 Å³/f.u.